Compound: CaMo2W
Source: Alexandria
Functional: GGA-PBE
Structure: optimized geometry

For the formation energy, the calculation gives 3.63 eV per formula unit. Its volume is 70.86 Å³/cell. As for the density of states at the Fermi level: 4.3 states/eV/f.u. As for the energy above the most stable polymorph in this dataset: 40.69 kJ/mol of atoms. The total magnetic moment is 0.00 Bohr magnetons per cell.

a b c (Å): 3.074 4.884 4.719
angles (deg): 90.00 90.00 90.00
Sites, in units of the cell vectors:
Mo: 0.500 0.500 0.000
Mo: 0.000 0.000 0.000
W: 0.500 0.000 0.500
Ca: 0.000 0.500 0.500

Compound: CaMo2W
Source: Alexandria
Functional: GGA-PBE
Structure: optimized geometry

For the formation energy, the calculation gives 1.95 eV per formula unit. Its volume is 72.85 Å³/cell. As for the density of states at the Fermi level: 3.5 states/eV/f.u. As for the energy above the most stable polymorph in this dataset: 0.00 kJ/mol of atoms. The total magnetic moment is 0.00 Bohr magnetons per cell.

a b c (Å): 2.831 2.831 9.641
angles (deg): 90.00 90.00 109.41
Sites, in units of the cell vectors:
Ca: 0.500 0.500 0.750
W: 0.500 0.500 0.250
Mo: 0.000 0.000 0.471
Mo: 0.000 0.000 0.029